YCuMo (PBE-GGA, optimized geometry); E_form = 0.702 eV per atom; space group = F-43m; distance to the lowest polymorph of the same formula = 35.91 kJ per mole of atoms
1.0
6.305 0.000 0.000
0.000 6.305 0.000
0.000 0.000 6.305
Y Cu Mo
4 4 4
direct
0.000 0.000 0.000
0.000 0.500 0.500
0.500 0.000 0.500
0.500 0.500 0.000
0.250 0.250 0.750
0.250 0.750 0.250
0.750 0.250 0.250
0.750 0.750 0.750
0.000 0.000 0.500
0.000 0.500 0.000
0.500 0.000 0.000
0.500 0.500 0.500